[1]
# PBE FeCuAs2, relaxed
# * crystal system: orthorhombic
# * density of states at the Fermi level: 3.217 states/eV per cell
# * energy of formation from the pure elements: 109 meV per atom
# * E: -5.3553 eV per atom
data_FeCuAs2
_chemical_formula_sum 'Fe1 Cu1 As2'
_cell_length_a 4.917
_cell_length_b 4.917
_cell_length_c 4.047
_cell_angle_alpha 90.05
_cell_angle_beta 90.05
_cell_angle_gamma 37.26
_space_group_name_H-M_alt 'P 1'
_space_group_IT_number 1
loop_
_space_group_symop_operation_xyz
'x,y,z'
loop_
_atom_site_label
_atom_site_type_symbol
_atom_site_fract_x
_atom_site_fract_y
_atom_site_fract_z
_atom_site_occupancy
As1 As 0.009 0.009 0.125 1
As2 As 0.730 0.730 0.625 1
Cu1 Cu 0.465 0.465 0.625 1
Fe1 Fe 0.296 0.296 0.125 1

[2]
# PBE VCdS3, relaxed
# * crystal system: cubic
# * density of states at the Fermi level: 5.992 states/eV per cell
# * ΔE_f (raw): 0.808 eV per atom
# * E: -3.6752 eV per atom
data_VCdS3
_chemical_formula_sum 'V1 Cd1 S3'
_cell_length_a 4.913
_cell_length_b 4.913
_cell_length_c 4.913
_cell_angle_alpha 90.00
_cell_angle_beta 90.00
_cell_angle_gamma 90.00
_space_group_name_H-M_alt 'P 1'
_space_group_IT_number 1
loop_
_space_group_symop_operation_xyz
'x,y,z'
loop_
_atom_site_label
_atom_site_type_symbol
_atom_site_fract_x
_atom_site_fract_y
_atom_site_fract_z
_atom_site_occupancy
S1 S 0.000 0.500 0.000 1
S2 S 0.000 0.000 0.500 1
S3 S 0.500 0.000 0.000 1
Cd1 Cd 0.000 0.000 0.000 1
V1 V 0.500 0.500 0.500 1

[3]
# PBE ZrP6Pb, relaxed
# * crystal system: orthorhombic
# * density of states at the Fermi level: 6.813 states/eV per cell
# * energy of formation from the pure elements: -33 meV per atom
# * E: -5.6224 eV per atom
data_ZrP6Pb
_chemical_formula_sum 'Zr2 P12 Pb2'
_cell_length_a 8.032
_cell_length_b 8.032
_cell_length_c 5.672
_cell_angle_alpha 90.00
_cell_angle_beta 90.00
_cell_angle_gamma 100.30
_space_group_name_H-M_alt 'P 1'
_space_group_IT_number 1
loop_
_space_group_symop_operation_xyz
'x,y,z'
loop_
_atom_site_label
_atom_site_type_symbol
_atom_site_fract_x
_atom_site_fract_y
_atom_site_fract_z
_atom_site_occupancy
Pb1 Pb 0.750 0.250 0.354 1
Pb2 Pb 0.250 0.750 0.646 1
P1 P 0.523 0.477 0.178 1
P2 P 0.977 0.023 0.178 1
P3 P 0.023 0.977 0.822 1
P4 P 0.477 0.523 0.822 1
P5 P 0.942 0.623 0.318 1
P6 P 0.558 0.877 0.318 1
P7 P 0.877 0.558 0.682 1
P8 P 0.623 0.942 0.682 1
P9 P 0.058 0.377 0.682 1
P10 P 0.442 0.123 0.682 1
P11 P 0.123 0.442 0.318 1
P12 P 0.377 0.058 0.318 1
Zr1 Zr 0.250 0.250 0.000 1
Zr2 Zr 0.750 0.750 0.000 1

[4]
# PBE Ba2PtRh, relaxed
# * crystal system: trigonal
# * density of states at the Fermi level: 4.324 states/eV per cell
# * energy of formation from the pure elements: -102 meV per atom
# * E: -4.4117 eV per atom
data_Ba2PtRh
_chemical_formula_sum 'Ba2 Pt1 Rh1'
_cell_length_a 8.473
_cell_length_b 8.473
_cell_length_c 8.473
_cell_angle_alpha 29.18
_cell_angle_beta 29.18
_cell_angle_gamma 29.18
_space_group_name_H-M_alt 'P 1'
_space_group_IT_number 1
loop_
_space_group_symop_operation_xyz
'x,y,z'
loop_
_atom_site_label
_atom_site_type_symbol
_atom_site_fract_x
_atom_site_fract_y
_atom_site_fract_z
_atom_site_occupancy
Ba1 Ba 0.748 0.748 0.748 1
Ba2 Ba 0.252 0.252 0.252 1
Pt1 Pt 0.000 0.000 0.000 1
Rh1 Rh 0.500 0.500 0.500 1